# PBE MgCrSi, optimized geometry
# - electronic total energy (eV/atom) = -5.32
# - formation energy without anion corrections (eV/atom) = 0.222
data_MgCrSi
_cell_length_a 4.2183
_cell_length_b 4.2183
_cell_length_c 2.8367
_cell_angle_alpha 90.00
_cell_angle_beta 90.00
_cell_angle_gamma 120.00
_space_group_name_H-M_alt 'P 3 m 1'
_space_group_IT_number 156
loop_
_space_group_symop_operation_xyz
'x,y,z'
'-y,x-y,z'
'-x+y,-x,z'
'-y,-x,z'
'-x+y,y,z'
'x,x-y,z'
loop_
_atom_site_label
_atom_site_fract_x
_atom_site_fract_y
_atom_site_fract_z
Mg1 0.0000 0.0000 0.0000
Cr1 0.6667 0.3333 0.5017
Si1 0.3333 0.6667 0.4978

# PBE Mg2CrSi, optimized geometry
# - electronic total energy (eV/atom) = -4.47
# - formation energy without anion corrections (eV/atom) = 0.086
data_Mg2CrSi
_cell_length_a 3.1576
_cell_length_b 3.1576
_cell_length_c 6.9058
_cell_angle_alpha 90.00
_cell_angle_beta 90.00
_cell_angle_gamma 90.00
_space_group_name_H-M_alt 'P 4 m m'
_space_group_IT_number 99
loop_
_space_group_symop_operation_xyz
'x,y,z'
'-y,x,z'
'-x,-y,z'
'y,-x,z'
'-x,y,z'
'y,x,z'
'x,-y,z'
'-y,-x,z'
loop_
_atom_site_label
_atom_site_fract_x
_atom_site_fract_y
_atom_site_fract_z
Mg1 0.0000 0.0000 0.0000
Mg2 0.5000 0.5000 0.3241
Cr1 0.5000 0.5000 0.7343
Si1 0.0000 0.0000 0.6015

Question: Among the records above, which one has the highest electronic total energy?
Answer: Mg2CrSi

Question: Which value of formation energy without anion corrections does entry 2 give?
Answer: 0.086 eV/atom